## SrPaHg2 (PBE)

Data for a geometry-optimized SrPaHg2 structure.

Computed properties:
calculated volume = 113.5 Å³/f.u.
ΔE_f = -2.16 kcal/mol of atoms
raw total energy = -3.039 eV/atom

Lattice parameters (Å, degrees): 3.697 3.697 8.306 90.00 90.00 90.00
Space group P4/mmm (No. 123)
Inequivalent atoms, fractional coordinates:
Sr: 0.000 0.000 0.000 (multiplicity 1)
Pa: 0.000 0.000 0.500 (multiplicity 1)
Hg: 0.500 0.500 0.267 (multiplicity 2)